Here is BaCaTl2 after structural relaxation from Alexandria. Energies are from PBE.

Values from the calculation:
* raw total energy: -2.399 eV per atom
* mass density: 6.605 g/cm3
* energy of formation from the pure elements: -0.23 eV per atom

abc: 10.808 10.808 10.808
angles: 21.41 21.41 21.41
Fractional positions:
1 Ba 0.000 0.000 0.000
2 Ca 0.500 0.500 0.500
3 Tl 0.244 0.244 0.244
4 Tl 0.756 0.756 0.756


Here is Be2InSb after structural relaxation from Alexandria. Energies are from PBE.

Values from the calculation:
* energy above the most stable polymorph in this dataset: 382 meV/atom
* raw total energy: -2.928 eV per atom
* raw formation energy: 650 meV/atom
* mass density: 5.779 g/cm3

abc: 5.773 5.773 5.773
angles: 141.77 141.77 55.18
Fractional positions:
1 Be 0.000 0.000 0.000
2 Be 0.750 0.250 0.500
3 In 0.250 0.750 0.500
4 Sb 0.500 0.500 0.000


Here is KTaCo after structural relaxation from Alexandria. Energies are from PBE.

Values from the calculation:
* energy above the most stable polymorph in this dataset: 2094 meV/atom
* raw total energy: -3.826 eV per atom
* mass density: 7.574 g/cm3
* energy of formation from the pure elements: 2.86 eV per atom

abc: 4.423 4.423 4.423
angles: 60.00 60.00 60.00
Fractional positions:
1 K 0.000 0.000 0.000
2 Ta 0.750 0.750 0.750
3 Co 0.250 0.250 0.250


Here is Sr2Sn3Pd4 after structural relaxation from Alexandria. Energies are from PBE.

Values from the calculation:
* raw total energy: -4.711 eV per atom
* mass density: 7.864 g/cm3
* energy of formation from the pure elements: -0.69 eV per atom

abc: 8.954 8.954 7.590
angles: 90.00 90.00 138.38
Fractional positions:
1 Sr 0.101 0.899 0.913
2 Sr 0.399 0.601 0.413
3 Sr 0.601 0.399 0.587
4 Sr 0.899 0.101 0.087
5 Sn 0.000 0.000 0.500
6 Sn 0.013 0.487 0.750
7 Sn 0.487 0.013 0.250
8 Sn 0.500 0.500 0.000
9 Sn 0.513 0.987 0.750
10 Sn 0.987 0.513 0.250
11 Pd 0.170 0.830 0.513
12 Pd 0.178 0.322 0.750
13 Pd 0.322 0.178 0.250
14 Pd 0.330 0.670 0.013
15 Pd 0.670 0.330 0.987
16 Pd 0.678 0.822 0.750
17 Pd 0.822 0.678 0.250
18 Pd 0.830 0.170 0.487


Question: What is the mass density in the fourth record?
Answer: 7.864 g/cm3